Entry A
YHoTlRh (GGA-PBE, optimized geometry); density of states at the Fermi level = 0.37 states/eV/atom; space group = P4mm (99)
1.0
3.5361 0.0000 0.0000
0.0000 3.5361 0.0000
0.0000 0.0000 7.5855
Y Tl Ho Rh
1 1 1 1
direct
0.5000 0.5000 0.7882
0.0000 0.0000 0.0738
0.5000 0.5000 0.3566
0.0000 0.0000 0.5662


Entry B
YHoTlRh (GGA-PBE, optimized geometry); density of states at the Fermi level = 0.43 states/eV/atom; space group = F-43m (216)
1.0
5.1090 0.0000 0.0000
2.5545 4.4245 0.0000
2.5545 1.4748 4.1715
Y Ho Rh Tl
1 1 1 1
direct
0.7500 0.7500 0.7500
0.2500 0.2500 0.2500
0.5000 0.5000 0.5000
0.0000 0.0000 0.0000


Ordering by calculated energy gives the sequence entry A, entry B, with the first entry being the most stable.


Entry A
Ho2TmRh (GGA-PBE, optimized geometry); density of states at the Fermi level = 1.26 states/eV/atom; space group = R-3m (166)
1.0
-1.1094 -2.7832 -2.1687
0.2306 -3.4891 1.2057
-8.9567 -1.4264 3.2583
Tm Ho Rh
1 2 1
direct
0.5000 0.5000 0.5000
0.2723 0.2723 0.1830
0.7277 0.7277 0.8170
0.0000 0.0000 0.0000


Entry B
Ho2TmRh (GGA-PBE, optimized geometry); density of states at the Fermi level = 1.10 states/eV/atom; space group = Cmcm (63)
1.0
3.7922 -0.1563 0.0000
-1.6545 5.9519 0.0000
0.0000 0.0000 9.3035
Rh Tm Ho
2 2 4
direct
0.7458 0.4923 0.2500
0.2542 0.5077 0.7500
0.5758 0.1515 0.7500
0.4242 0.8485 0.2500
0.1381 0.2763 0.4334
0.8619 0.7237 0.5666
0.1381 0.2763 0.0666
0.8619 0.7237 0.9334


Entry C
Ho2TmRh (GGA-PBE, optimized geometry); density of states at the Fermi level = 1.38 states/eV/atom; space group = P4/mmm (123)
1.0
-1.3758 -0.8546 3.0855
2.9034 -1.7483 0.8104
3.2780 7.0232 3.4068
Tm Ho Rh
1 2 1
direct
0.5000 0.5000 0.5000
0.0000 0.0000 0.8084
0.0000 0.0000 0.1916
0.5000 0.5000 0.0000


Ordering by calculated energy gives the sequence entry B, entry C, entry A, with the first entry being the most stable.